# 1
The following is a DFT calculation (GGA-PBE) of a relaxed structure of Nd2Ga2Ni. Values from VASP.

The structure in Quantum ESPRESSO input format:
```
&SYSTEM
  ibrav = 0, nat = 10, ntyp = 3
/
ATOMIC_SPECIES
Nd 144.24 Nd.upf
Ga 69.72 Ga.upf
Ni 58.69 Ni.upf
ATOMIC_POSITIONS crystal
Nd 0.7080 0.2316 0.3523
Ga 0.6247 0.8665 0.8842
Ni 0.5757 0.1640 0.6846
Nd 0.0891 0.7059 0.1158
Ga 0.3753 0.1335 0.1158
Nd 0.2920 0.7684 0.6477
Ga 0.9538 0.6751 0.4172
Ni 0.4243 0.8360 0.3154
Nd 0.9109 0.2941 0.8842
Ga 0.0462 0.3249 0.5828
CELL_PARAMETERS angstrom
4.1439 0.0000 0.0000
2.0720 5.5501 -0.1865
2.0720 0.5442 9.9960
```

Calculated values
Space group   C2/m (12)
Mass density   7.0 g/cm³
Total DFT energy (no corrections)   -48.10 eV for the cell shown
Energy of formation from the pure elements   -536 meV/atom


# 2
The following is a DFT calculation (GGA-PBE) of a relaxed structure of GeB2TeMo. Values from VASP.

The structure in Quantum ESPRESSO input format:
```
&SYSTEM
  ibrav = 0, nat = 5, ntyp = 4
/
ATOMIC_SPECIES
Mo 95.94 Mo.upf
Ge 72.64 Ge.upf
B 10.81 B.upf
Te 127.60 Te.upf
ATOMIC_POSITIONS crystal
Mo 0.0000 0.5000 0.0000
Ge 0.0000 0.0000 0.0000
B 0.5000 0.0000 0.0000
Te 0.5000 0.5000 0.5000
B 0.0000 0.0000 0.5000
CELL_PARAMETERS angstrom
-0.8198 3.5796 1.7881
-3.4801 1.1351 -3.8680
-2.9810 -1.7639 2.1644
```

Calculated values
Space group   P4/mmm (123)
Mass density   5.9 g/cm³
Total DFT energy (no corrections)   -24.20 eV for the cell shown


# 3
The following is a DFT calculation (GGA-PBE) of a relaxed structure of KAsP2O. Values from VASP.

The structure in Quantum ESPRESSO input format:
```
&SYSTEM
  ibrav = 0, nat = 5, ntyp = 4
/
ATOMIC_SPECIES
As 74.92 As.upf
O 16.00 O.upf
P 30.97 P.upf
K 39.10 K.upf
ATOMIC_POSITIONS crystal
As 0.0000 0.0000 0.0000
O 0.0000 0.0000 0.5000
P 0.5000 0.0000 0.0000
P 0.0000 0.5000 0.0000
K 0.5000 0.5000 0.5000
CELL_PARAMETERS angstrom
5.1604 0.0000 0.0000
0.0000 5.1604 0.0000
0.0000 0.0000 3.7926
```

Calculated values
Space group   P4/mmm (123)
Relative energy among the computed polymorphs   0.000 eV/atom
Mass density   3.2 g/cm³
Total DFT energy (no corrections)   -20.17 eV for the cell shown